Density functional theory data (PBE) for crystalline Pr6Os2CBr3 at its relaxed geometry.

Structure (POSCAR):
```
Pr6Os2CBr3
1.0
-0.206 -2.447 -6.660
-2.245 -4.093 5.347
-6.327 5.027 -0.386
Pr Os C Br
6 2 1 3
Direct
0.938 0.624 0.811 Pr
0.748 0.748 0.189 Pr
0.062 0.376 0.189 Pr
0.624 0.938 0.811 Pr
0.252 0.252 0.811 Pr
0.376 0.062 0.189 Pr
0.333 0.667 0.000 Os
0.667 0.333 0.000 Os
0.000 0.000 0.000 C
0.165 0.835 0.500 Br
0.835 0.165 0.500 Br
0.500 0.500 0.500 Br
```

Properties
**ΔE_f (raw)**: -688 meV/atom



Density functional theory data (PBE) for crystalline Ac2Pm5Tm2 at its relaxed geometry.

Structure (POSCAR):
```
Ac2Pm5Tm2
1.0
3.573 0.276 -0.850
1.936 11.533 4.136
0.056 4.050 9.673
Ac Pm Tm
2 5 2
Direct
0.717 0.679 0.113 Ac
0.283 0.321 0.887 Ac
0.848 0.723 0.430 Pm
0.152 0.277 0.570 Pm
0.564 0.653 0.780 Pm
0.436 0.347 0.220 Pm
0.000 0.000 0.000 Pm
0.852 0.971 0.670 Tm
0.148 0.029 0.330 Tm
```

Properties
**Formation energy**: 0.83 eV per formula unit



no.,total moment (μB/f.u.)
1,0.00
2,0.00